No. 1
A relaxed NbCuNiB crystal. Source: OQMD, functional GGA-PBE.

Computed properties:
**Total energy**: -6.149 eV/atom
**Energy above the lowest structure with this stoichiometry**: 23.4 kJ/mol of atoms

a b c (Å): 4.067 4.067 4.067
angles (deg): 60.00 60.00 60.00
Positions (direct):
Nb 0.500 0.500 0.500
B 0.000 0.000 0.000
Ni 0.250 0.250 0.250
Cu 0.750 0.750 0.750


No. 2
A relaxed NbCuNiB crystal. Source: OQMD, functional GGA-PBE.

Computed properties:
**Total energy**: -6.391 eV/atom
**Energy above the lowest structure with this stoichiometry**: 0.0 kJ/mol of atoms

a b c (Å): 4.052 4.052 4.052
angles (deg): 60.00 60.00 60.00
Positions (direct):
B 0.000 0.000 0.000
Nb 0.250 0.250 0.250
Cu 0.750 0.750 0.750
Ni 0.500 0.500 0.500


No. 3
A relaxed NbCuBOs crystal. Source: OQMD, functional GGA-PBE.

Computed properties:
**Total energy**: -7.350 eV/atom
**Energy above the lowest structure with this stoichiometry**: 6.0 kJ/mol of atoms

a b c (Å): 4.231 4.231 4.231
angles (deg): 60.00 60.00 60.00
Positions (direct):
Cu 0.750 0.750 0.750
Os 0.500 0.500 0.500
B 0.000 0.000 0.000
Nb 0.250 0.250 0.250


No. 4
A relaxed NbCuBOs crystal. Source: OQMD, functional GGA-PBE.

Computed properties:
**Total energy**: -7.412 eV/atom
**Energy above the lowest structure with this stoichiometry**: 0.0 kJ/mol of atoms

a b c (Å): 4.219 4.219 4.219
angles (deg): 60.00 60.00 60.00
Positions (direct):
Nb 0.500 0.500 0.500
Os 0.250 0.250 0.250
Cu 0.750 0.750 0.750
B 0.000 0.000 0.000


No. 5
A relaxed NbCuBPt crystal. Source: OQMD, functional GGA-PBE.

Computed properties:
**Total energy**: -6.233 eV/atom
**Energy above the lowest structure with this stoichiometry**: 20.1 kJ/mol of atoms

a b c (Å): 4.256 4.256 4.256
angles (deg): 60.00 60.00 60.00
Positions (direct):
Nb 0.500 0.500 0.500
Pt 0.250 0.250 0.250
Cu 0.750 0.750 0.750
B 0.000 0.000 0.000


No. 6
A relaxed NbCuBPt crystal. Source: OQMD, functional GGA-PBE.

Computed properties:
**Total energy**: -6.441 eV/atom
**Energy above the lowest structure with this stoichiometry**: 0.0 kJ/mol of atoms

a b c (Å): 4.259 4.259 4.259
angles (deg): 60.00 60.00 60.00
Positions (direct):
B 0.000 0.000 0.000
Cu 0.750 0.750 0.750
Pt 0.500 0.500 0.500
Nb 0.250 0.250 0.250


No. 7
A relaxed NbCuReB crystal. Source: OQMD, functional GGA-PBE.

Computed properties:
**Total energy**: -7.573 eV/atom
**Energy above the lowest structure with this stoichiometry**: 0.0 kJ/mol of atoms

a b c (Å): 4.228 4.228 4.228
angles (deg): 60.00 60.00 60.00
Positions (direct):
Cu 0.750 0.750 0.750
B 0.000 0.000 0.000
Re 0.250 0.250 0.250
Nb 0.500 0.500 0.500


No. 8
A relaxed NbZnCuB crystal. Source: OQMD, functional GGA-PBE.

Computed properties:
**Total energy**: -4.601 eV/atom
**Energy above the lowest structure with this stoichiometry**: 37.5 kJ/mol of atoms

a b c (Å): 4.193 4.193 4.193
angles (deg): 60.00 60.00 60.00
Positions (direct):
Zn 0.750 0.750 0.750
B 0.000 0.000 0.000
Cu 0.250 0.250 0.250
Nb 0.500 0.500 0.500